# PuGa2Tc

A relaxed structure of PuGa2Tc (GGA-PBE, OQMD).

Output
- Electronic total energy: -64.2 eV for the cell shown
- Calculated density: 11.026 g/cm3

Cell lengths 4.553, 6.578, 5.038 Å; angles 90.00, 106.04, 90.00 degrees
Positions (direct):
Pu 0.041 0.250 0.141
Pu 0.959 0.750 0.859
Ga 0.417 0.052 0.727
Ga 0.417 0.448 0.727
Ga 0.583 0.552 0.273
Ga 0.583 0.948 0.273
Tc 0.116 0.750 0.405
Tc 0.884 0.250 0.595

---

# PuGaTe

A relaxed structure of PuGaTe (GGA-PBE, OQMD).

Output
- Electronic total energy: -84.0 eV for the cell shown
- Calculated density: 7.854 g/cm3

Cell lengths 7.200, 7.200, 7.200 Å; angles 90.00, 90.00, 90.00 degrees
Positions (direct):
Pu 0.000 0.000 0.000
Pu 0.000 0.500 0.500
Pu 0.500 0.000 0.500
Pu 0.500 0.500 0.000
Ga 0.000 0.000 0.500
Ga 0.000 0.500 0.000
Ga 0.500 0.000 0.000
Ga 0.500 0.500 0.500
Te 0.250 0.250 0.750
Te 0.250 0.750 0.250
Te 0.750 0.250 0.250
Te 0.750 0.750 0.750

---

# PuThGa

A relaxed structure of PuThGa (GGA-PBE, OQMD).

Output
- Energy above the most stable polymorph in this dataset: 0 meV/atom
- Calculated density: 10.462 g/cm3

Cell lengths 7.024, 7.024, 7.024 Å; angles 90.00, 90.00, 90.00 degrees
Positions (direct):
Pu 0.000 0.000 0.000
Pu 0.000 0.500 0.500
Pu 0.500 0.000 0.500
Pu 0.500 0.500 0.000
Th 0.000 0.000 0.500
Th 0.000 0.500 0.000
Th 0.500 0.000 0.000
Th 0.500 0.500 0.500
Ga 0.250 0.250 0.250
Ga 0.250 0.750 0.750
Ga 0.750 0.250 0.750
Ga 0.750 0.750 0.250

---

# PuTlGa

A relaxed structure of PuTlGa (GGA-PBE, OQMD).

Output
- Energy above the most stable polymorph in this dataset: 0 meV/atom
- Calculated density: 10.871 g/cm3

Cell lengths 6.815, 6.815, 6.815 Å; angles 90.00, 90.00, 90.00 degrees
Positions (direct):
Pu 0.000 0.000 0.000
Pu 0.000 0.500 0.500
Pu 0.500 0.000 0.500
Pu 0.500 0.500 0.000
Tl 0.000 0.000 0.500
Tl 0.000 0.500 0.000
Tl 0.500 0.000 0.000
Tl 0.500 0.500 0.500
Ga 0.250 0.250 0.250
Ga 0.250 0.750 0.750
Ga 0.750 0.250 0.750
Ga 0.750 0.750 0.250

---

# PuTlGa

A relaxed structure of PuTlGa (GGA-PBE, OQMD).

Output
- Energy above the most stable polymorph in this dataset: 300 meV/atom
- Calculated density: 9.804 g/cm3

Cell lengths 7.054, 7.054, 7.054 Å; angles 90.00, 90.00, 90.00 degrees
Positions (direct):
Pu 0.000 0.000 0.000
Pu 0.000 0.500 0.500
Pu 0.500 0.000 0.500
Pu 0.500 0.500 0.000
Tl 0.250 0.250 0.750
Tl 0.250 0.750 0.250
Tl 0.750 0.250 0.250
Tl 0.750 0.750 0.750
Ga 0.250 0.250 0.250
Ga 0.250 0.750 0.750
Ga 0.750 0.250 0.750
Ga 0.750 0.750 0.250

---

# PuUGa

A relaxed structure of PuUGa (GGA-PBE, OQMD).

Output
- Energy above the most stable polymorph in this dataset: 0 meV/atom
- Calculated density: 12.803 g/cm3

Cell lengths 6.590, 6.590, 6.590 Å; angles 90.00, 90.00, 90.00 degrees
Positions (direct):
Pu 0.000 0.000 0.000
Pu 0.000 0.500 0.500
Pu 0.500 0.000 0.500
Pu 0.500 0.500 0.000
U 0.250 0.250 0.250
U 0.250 0.750 0.750
U 0.750 0.250 0.750
U 0.750 0.750 0.250
Ga 0.250 0.250 0.750
Ga 0.250 0.750 0.250
Ga 0.750 0.250 0.250
Ga 0.750 0.750 0.750

---

# PuGaW

A relaxed structure of PuGaW (GGA-PBE, OQMD).

Output
- Energy above the most stable polymorph in this dataset: 655 meV/atom
- Calculated density: 12.898 g/cm3

Cell lengths 6.352, 6.352, 6.352 Å; angles 90.00, 90.00, 90.00 degrees
Positions (direct):
Pu 0.000 0.000 0.000
Pu 0.000 0.500 0.500
Pu 0.500 0.000 0.500
Pu 0.500 0.500 0.000
Ga 0.250 0.250 0.750
Ga 0.250 0.750 0.250
Ga 0.750 0.250 0.250
Ga 0.750 0.750 0.750
W 0.250 0.250 0.250
W 0.250 0.750 0.750
W 0.750 0.250 0.750
W 0.750 0.750 0.250

---

# PuGaW

A relaxed structure of PuGaW (GGA-PBE, OQMD).

Output
- Energy above the most stable polymorph in this dataset: 0 meV/atom
- Calculated density: 13.053 g/cm3

Cell lengths 6.326, 6.326, 6.326 Å; angles 90.00, 90.00, 90.00 degrees
Positions (direct):
Pu 0.000 0.000 0.000
Pu 0.000 0.500 0.500
Pu 0.500 0.000 0.500
Pu 0.500 0.500 0.000
Ga 0.000 0.000 0.500
Ga 0.000 0.500 0.000
Ga 0.500 0.000 0.000
Ga 0.500 0.500 0.500
W 0.250 0.250 0.250
W 0.250 0.750 0.750
W 0.750 0.250 0.750
W 0.750 0.750 0.250

---

# YPuGa6

A relaxed structure of YPuGa6 (GGA-PBE, OQMD).

Output
- Electronic total energy: -42.7 eV for the cell shown
- Calculated density: 8.087 g/cm3

Cell lengths 6.217, 6.217, 4.607 Å; angles 90.00, 90.00, 120.00 degrees
Positions (direct):
Y 0.000 0.000 0.000
Pu 0.333 0.667 0.500
Ga 0.366 0.183 0.500
Ga 0.516 0.031 0.000
Ga 0.516 0.484 0.000
Ga 0.817 0.183 0.500
Ga 0.817 0.634 0.500
Ga 0.969 0.484 0.000

---

# PuZrGa

A relaxed structure of PuZrGa (GGA-PBE, OQMD).

Output
- Electronic total energy: -95.4 eV for the cell shown
- Calculated density: 9.977 g/cm3

Cell lengths 6.460, 6.460, 6.460 Å; angles 90.00, 90.00, 90.00 degrees
Positions (direct):
Pu 0.000 0.000 0.000
Pu 0.000 0.500 0.500
Pu 0.500 0.000 0.500
Pu 0.500 0.500 0.000
Zr 0.250 0.250 0.250
Zr 0.250 0.750 0.750
Zr 0.750 0.250 0.750
Zr 0.750 0.750 0.250
Ga 0.250 0.250 0.750
Ga 0.250 0.750 0.250
Ga 0.750 0.250 0.250
Ga 0.750 0.750 0.750

---

# RbZnGaS3

A relaxed structure of RbZnGaS3 (GGA-PBE, OQMD).

Output
- Electronic total energy: -45.3 eV for the cell shown
- Calculated density: 3.520 g/cm3

Cell lengths 7.763, 7.763, 10.679 Å; angles 90.00, 90.00, 152.33 degrees
Positions (direct):
Rb 0.249 0.751 0.750
Rb 0.751 0.249 0.250
Zn 0.000 0.000 0.000
Zn 0.000 0.000 0.500
Ga 0.474 0.526 0.250
Ga 0.526 0.474 0.750
S 0.068 0.932 0.250
S 0.397 0.603 0.068
S 0.397 0.603 0.432
S 0.603 0.397 0.568
S 0.603 0.397 0.932
S 0.932 0.068 0.750

---

# RbSmGaSe3

A relaxed structure of RbSmGaSe3 (GGA-PBE, OQMD).

Output
- Electronic total energy: -53.3 eV for the cell shown
- Calculated density: 4.720 g/cm3

Cell lengths 7.752, 7.752, 11.194 Å; angles 90.00, 90.00, 145.44 degrees
Positions (direct):
Rb 0.246 0.754 0.750
Rb 0.754 0.246 0.250
Sm 0.500 0.500 0.000
Sm 0.500 0.500 0.500
Ga 0.018 0.982 0.250
Ga 0.982 0.018 0.750
Se 0.121 0.879 0.067
Se 0.121 0.879 0.433
Se 0.439 0.561 0.250
Se 0.561 0.439 0.750
Se 0.879 0.121 0.567
Se 0.879 0.121 0.933

---

# RbZnGaSe3

A relaxed structure of RbZnGaSe3 (GGA-PBE, OQMD).

Output
- Electronic total energy: -40.6 eV for the cell shown
- Calculated density: 4.470 g/cm3

Cell lengths 8.088, 8.088, 11.107 Å; angles 90.00, 90.00, 152.11 degrees
Positions (direct):
Rb 0.249 0.751 0.750
Rb 0.751 0.249 0.250
Zn 0.000 0.000 0.000
Zn 0.000 0.000 0.500
Ga 0.470 0.530 0.250
Ga 0.530 0.470 0.750
Se 0.067 0.933 0.250
Se 0.393 0.607 0.063
Se 0.393 0.607 0.437
Se 0.607 0.393 0.563
Se 0.607 0.393 0.937
Se 0.933 0.067 0.750

---

# RbSmGa

A relaxed structure of RbSmGa (GGA-PBE, OQMD).

Output
- Electronic total energy: -27.9 eV for the cell shown
- Calculated density: 4.812 g/cm3

Cell lengths 7.499, 7.499, 7.499 Å; angles 90.00, 90.00, 90.00 degrees
Positions (direct):
Rb 0.000 0.000 0.000
Rb 0.000 0.500 0.500
Rb 0.500 0.000 0.500
Rb 0.500 0.500 0.000
Sm 0.250 0.250 0.750
Sm 0.250 0.750 0.250
Sm 0.750 0.250 0.250
Sm 0.750 0.750 0.750
Ga 0.000 0.000 0.500
Ga 0.000 0.500 0.000
Ga 0.500 0.000 0.000
Ga 0.500 0.500 0.500

---

# RbTaGa

A relaxed structure of RbTaGa (GGA-PBE, OQMD).

Output
- Energy above the most stable polymorph in this dataset: 719 meV/atom
- Calculated density: 5.083 g/cm3

Cell lengths 7.602, 7.602, 7.602 Å; angles 90.00, 90.00, 90.00 degrees
Positions (direct):
Rb 0.000 0.000 0.000
Rb 0.000 0.500 0.500
Rb 0.500 0.000 0.500
Rb 0.500 0.500 0.000
Ta 0.250 0.250 0.250
Ta 0.250 0.750 0.750
Ta 0.750 0.250 0.750
Ta 0.750 0.750 0.250
Ga 0.250 0.250 0.750
Ga 0.250 0.750 0.250
Ga 0.750 0.250 0.250
Ga 0.750 0.750 0.750

---

# RbTaGa

A relaxed structure of RbTaGa (GGA-PBE, OQMD).

Output
- Energy above the most stable polymorph in this dataset: 0 meV/atom
- Calculated density: 6.368 g/cm3

Cell lengths 7.051, 7.051, 7.051 Å; angles 90.00, 90.00, 90.00 degrees
Positions (direct):
Rb 0.000 0.000 0.000
Rb 0.000 0.500 0.500
Rb 0.500 0.000 0.500
Rb 0.500 0.500 0.000
Ta 0.000 0.000 0.500
Ta 0.000 0.500 0.000
Ta 0.500 0.000 0.000
Ta 0.500 0.500 0.500
Ga 0.250 0.250 0.250
Ga 0.250 0.750 0.750
Ga 0.750 0.250 0.750
Ga 0.750 0.750 0.250

---

# RbTbGaTe3

A relaxed structure of RbTbGaTe3 (GGA-PBE, OQMD).

Output
- Energy above the most stable polymorph in this dataset: 29 meV/atom
- Calculated density: 5.609 g/cm3

Cell lengths 12.250, 5.048, 13.347 Å; angles 90.00, 90.00, 90.00 degrees
Positions (direct):
Rb 0.185 0.250 0.008
Rb 0.315 0.750 0.508
Rb 0.685 0.250 0.492
Rb 0.815 0.750 0.992
Tb 0.022 0.250 0.322
Tb 0.478 0.750 0.822
Tb 0.522 0.250 0.178
Tb 0.978 0.750 0.678
Ga 0.239 0.250 0.720
Ga 0.261 0.750 0.220
Ga 0.739 0.250 0.780
Ga 0.761 0.750 0.280
Te 0.045 0.750 0.172
Te 0.089 0.250 0.562
Te 0.215 0.750 0.798
Te 0.285 0.250 0.298
Te 0.411 0.750 0.062
Te 0.455 0.250 0.672
Te 0.545 0.750 0.328
Te 0.589 0.250 0.938
Te 0.715 0.750 0.702
Te 0.785 0.250 0.202
Te 0.911 0.750 0.438
Te 0.955 0.250 0.828

---

# RbTbGaTe3

A relaxed structure of RbTbGaTe3 (GGA-PBE, OQMD).

Output
- Energy above the most stable polymorph in this dataset: 0 meV/atom
- Calculated density: 5.163 g/cm3

Cell lengths 8.303, 8.303, 11.813 Å; angles 90.00, 90.00, 146.60 degrees
Positions (direct):
Rb 0.248 0.752 0.750
Rb 0.752 0.248 0.250
Tb 0.000 0.000 0.000
Tb 0.000 0.000 0.500
Ga 0.472 0.528 0.250
Ga 0.528 0.472 0.750
Te 0.062 0.938 0.250
Te 0.375 0.625 0.055
Te 0.375 0.625 0.445
Te 0.625 0.375 0.555
Te 0.625 0.375 0.945
Te 0.938 0.062 0.750

---

# RbZnGaTe3

A relaxed structure of RbZnGaTe3 (GGA-PBE, OQMD).

Output
- Electronic total energy: -35.4 eV for the cell shown
- Calculated density: 4.888 g/cm3

Cell lengths 8.548, 8.548, 11.812 Å; angles 90.00, 90.00, 151.64 degrees
Positions (direct):
Rb 0.245 0.755 0.750
Rb 0.755 0.245 0.250
Zn 0.000 0.000 0.000
Zn 0.000 0.000 0.500
Ga 0.467 0.533 0.250
Ga 0.533 0.467 0.750
Te 0.069 0.931 0.250
Te 0.389 0.611 0.057
Te 0.389 0.611 0.443
Te 0.611 0.389 0.557
Te 0.611 0.389 0.943
Te 0.931 0.069 0.750

---

# RbZrGaTe3

A relaxed structure of RbZrGaTe3 (GGA-PBE, OQMD).

Output
- Electronic total energy: -52.3 eV for the cell shown
- Calculated density: 5.018 g/cm3

Cell lengths 8.420, 8.420, 12.309 Å; angles 90.00, 90.00, 151.50 degrees
Positions (direct):
Rb 0.224 0.776 0.750
Rb 0.776 0.224 0.250
Zr 0.500 0.500 0.000
Zr 0.500 0.500 0.500
Ga 0.099 0.901 0.250
Ga 0.901 0.099 0.750
Te 0.126 0.874 0.012
Te 0.126 0.874 0.488
Te 0.483 0.517 0.250
Te 0.517 0.483 0.750
Te 0.874 0.126 0.512
Te 0.874 0.126 0.988

---

# RbThGa

A relaxed structure of RbThGa (GGA-PBE, OQMD).

Output
- Electronic total energy: -37.8 eV for the cell shown
- Calculated density: 6.019 g/cm3

Cell lengths 7.532, 7.532, 7.532 Å; angles 90.00, 90.00, 90.00 degrees
Positions (direct):
Rb 0.000 0.000 0.000
Rb 0.000 0.500 0.500
Rb 0.500 0.000 0.500
Rb 0.500 0.500 0.000
Th 0.000 0.000 0.500
Th 0.000 0.500 0.000
Th 0.500 0.000 0.000
Th 0.500 0.500 0.500
Ga 0.250 0.250 0.250
Ga 0.250 0.750 0.750
Ga 0.750 0.250 0.750
Ga 0.750 0.750 0.250

---

# RbTmGa

A relaxed structure of RbTmGa (GGA-PBE, OQMD).

Output
- Electronic total energy: -25.9 eV for the cell shown
- Calculated density: 5.281 g/cm3

Cell lengths 7.415, 7.415, 7.415 Å; angles 90.00, 90.00, 90.00 degrees
Positions (direct):
Rb 0.000 0.000 0.000
Rb 0.000 0.500 0.500
Rb 0.500 0.000 0.500
Rb 0.500 0.500 0.000
Tm 0.250 0.250 0.750
Tm 0.250 0.750 0.250
Tm 0.750 0.250 0.250
Tm 0.750 0.750 0.750
Ga 0.000 0.000 0.500
Ga 0.000 0.500 0.000
Ga 0.500 0.000 0.000
Ga 0.500 0.500 0.500

---

# RbGaW

A relaxed structure of RbGaW (GGA-PBE, OQMD).

Output
- Energy above the most stable polymorph in this dataset: 0 meV/atom
- Calculated density: 6.436 g/cm3

Cell lengths 7.047, 7.047, 7.047 Å; angles 90.00, 90.00, 90.00 degrees
Positions (direct):
Rb 0.000 0.000 0.000
Rb 0.000 0.500 0.500
Rb 0.500 0.000 0.500
Rb 0.500 0.500 0.000
Ga 0.250 0.250 0.250
Ga 0.250 0.750 0.750
Ga 0.750 0.250 0.750
Ga 0.750 0.750 0.250
W 0.000 0.000 0.500
W 0.000 0.500 0.000
W 0.500 0.000 0.000
W 0.500 0.500 0.500

---

# RbGaW

A relaxed structure of RbGaW (GGA-PBE, OQMD).

Output
- Energy above the most stable polymorph in this dataset: 605 meV/atom
- Calculated density: 5.064 g/cm3

Cell lengths 7.633, 7.633, 7.633 Å; angles 90.00, 90.00, 90.00 degrees
Positions (direct):
Rb 0.000 0.000 0.000
Rb 0.000 0.500 0.500
Rb 0.500 0.000 0.500
Rb 0.500 0.500 0.000
Ga 0.250 0.250 0.750
Ga 0.250 0.750 0.250
Ga 0.750 0.250 0.250
Ga 0.750 0.750 0.750
W 0.250 0.250 0.250
W 0.250 0.750 0.750
W 0.750 0.250 0.750
W 0.750 0.750 0.250

---

# RbZnGa

A relaxed structure of RbZnGa (GGA-PBE, OQMD).

Output
- Energy above the most stable polymorph in this dataset: 0 meV/atom
- Calculated density: 3.557 g/cm3

Cell lengths 7.441, 7.441, 7.441 Å; angles 90.00, 90.00, 90.00 degrees
Positions (direct):
Rb 0.000 0.000 0.000
Rb 0.000 0.500 0.500
Rb 0.500 0.000 0.500
Rb 0.500 0.500 0.000
Zn 0.250 0.250 0.750
Zn 0.250 0.750 0.250
Zn 0.750 0.250 0.250
Zn 0.750 0.750 0.750
Ga 0.000 0.000 0.500
Ga 0.000 0.500 0.000
Ga 0.500 0.000 0.000
Ga 0.500 0.500 0.500

---

# RbZrGa

A relaxed structure of RbZrGa (GGA-PBE, OQMD).

Output
- Energy above the most stable polymorph in this dataset: 605 meV/atom
- Calculated density: 4.587 g/cm3

Cell lengths 7.093, 7.093, 7.093 Å; angles 90.00, 90.00, 90.00 degrees
Positions (direct):
Rb 0.000 0.000 0.000
Rb 0.000 0.500 0.500
Rb 0.500 0.000 0.500
Rb 0.500 0.500 0.000
Zr 0.250 0.250 0.250
Zr 0.250 0.750 0.750
Zr 0.750 0.250 0.750
Zr 0.750 0.750 0.250
Ga 0.250 0.250 0.750
Ga 0.250 0.750 0.250
Ga 0.750 0.250 0.250
Ga 0.750 0.750 0.750

---

# GaRe2

A relaxed structure of GaRe2 (GGA-PBE, OQMD).

Output
- Electronic total energy: -52.3 eV for the cell shown
- Calculated density: 14.897 g/cm3

Cell lengths 5.185, 5.185, 5.185 Å; angles 60.00, 60.00, 60.00 degrees
Positions (direct):
Ga 0.125 0.125 0.125
Ga 0.875 0.875 0.875
Re 0.000 0.500 0.500
Re 0.500 0.000 0.500
Re 0.500 0.500 0.000
Re 0.500 0.500 0.500